# KVPdO4

A geometry-optimized KVPdO4 structure (GGA+U, Alexandria via LeMat-Bulk).

Summary:
density of states at the Fermi level	4.1	states/eV per cell
total DFT energy (no corrections)	-42.64	eV/f.u.
spin magnetization	1.81	μB per formula unit

```
data_KVPdO4
_chemical_formula_sum 'K2 V2 Pd2 O8'
_symmetry_space_group_name_H-M 'P 1'
_symmetry_Int_Tables_number 1
_symmetry_space_group_name_Hall 'P 1'
_cell_length_a 6.016
_cell_length_b 6.016
_cell_length_c 6.956
_cell_angle_alpha 90.00
_cell_angle_beta 90.00
_cell_angle_gamma 109.75
loop_
_atom_site_label
_atom_site_fract_x
_atom_site_fract_y
_atom_site_fract_z
K1 0.000 0.000 0.000
K2 0.000 0.000 0.500
V1 0.386 0.614 0.750
V2 0.614 0.386 0.250
Pd1 0.328 0.672 0.250
Pd2 0.672 0.328 0.750
O1 0.286 0.714 0.542
O2 0.286 0.714 0.958
O3 0.293 0.303 0.750
O4 0.303 0.293 0.250
O5 0.697 0.707 0.750
O6 0.707 0.697 0.250
O7 0.714 0.286 0.042
O8 0.714 0.286 0.458
```